YEr8Cd6: optimized geometry, PBE.

Values from the calculation:
total moment: 0.055 μB per formula unit
N(E_F): 17.8 states/eV/f.u.
raw total energy: -0.1210 hartree per atom
density: 8.02 Mg/m³

abc: 8.9071 8.9071 18.9944
angles: 90.00 90.00 120.00
Space group R-3 (No. 148, hexagonal axes)
Symmetry-distinct sites (fractional):
Y  0.0000  0.0000  0.0000 x3
Er  0.0000  0.0000  0.3335 x6
Er  0.9997  0.3339  0.1159 x18
Cd  0.0000  0.3346  0.9473 x18